15
Lattice="4.657 2.689 3.918 -4.657 2.689 3.918 0.000 -5.377 3.918" Properties=species:S:1:pos:R:3 comment="YMo6Se8, optimized geometry, DFT PBEsol" vol_a3_per_atom=19.6 e_form_raw_ev_per_atom=-0.7517 pbc="T T T"
Y 0.000 0.000 0.000
Mo -1.530 -0.154 4.756
Mo 0.898 -1.248 4.756
Mo -0.632 -1.402 6.998
Mo 0.632 1.402 4.756
Mo -0.898 1.248 6.998
Mo 1.530 0.154 6.998
Se -1.161 -2.763 4.911
Se 0.000 0.000 2.784
Se -2.973 -0.376 6.843
Se -1.812 2.387 4.911
Se 1.812 -2.387 6.843
Se 2.973 0.376 4.911
Se 0.000 0.000 8.970
Se 1.161 2.763 6.843



4
Lattice="-2.390 2.390 5.687 2.390 -2.390 5.687 2.390 2.390 -5.687" Properties=species:S:1:pos:R:3 comment="Ba2CaPt, optimized geometry, DFT PBEsol" vol_a3_per_atom=32.5 ef_ev_per_atom=-0.03 pbc="T T T"
Ba 0.000 0.000 0.000
Ba 0.000 2.390 2.844
Ca 0.000 0.000 5.687
Pt 2.390 0.000 2.844



5
Lattice="4.926 0.000 0.000 0.000 4.926 0.000 0.000 0.000 5.523" Properties=species:S:1:pos:R:3 comment="SnTePBr2, optimized geometry, DFT PBEsol" vol_a3_per_atom=26.8 e_form_raw_ev_per_atom=0.0348 pbc="T T T"
Sn 0.000 0.000 0.000
Te 2.463 2.463 0.000
P 2.463 2.463 2.762
Br 0.000 2.463 2.762
Br 2.463 0.000 2.762



5
Lattice="6.293 0.000 0.000 0.000 6.293 0.000 0.000 0.000 5.689" Properties=species:S:1:pos:R:3 comment="CsRbAuBr2, optimized geometry, DFT PBEsol" vol_a3_per_atom=45.0 e_form_raw_ev_per_atom=-0.5515 pbc="T T T"
Cs 0.000 0.000 0.000
Rb 3.146 3.146 2.844
Au 3.146 3.146 0.000
Br 0.000 3.146 2.844
Br 3.146 0.000 2.844



6
Lattice="2.351 -6.898 0.000 2.351 6.898 0.000 0.000 0.000 5.073" Properties=species:S:1:pos:R:3 comment="LaTl5, optimized geometry, DFT PBEsol" vol_a3_per_atom=27.4 ef_ev_per_atom=-0.22 pbc="T T T"
La 0.000 0.000 0.000
Tl 2.351 4.571 2.537
Tl 2.351 2.409 0.000
Tl 2.351 0.000 2.537
Tl 2.351 -2.409 0.000
Tl 2.351 -4.571 2.537



4
Lattice="-1.693 2.208 4.097 1.693 -2.208 4.097 1.693 2.208 -4.097" Properties=species:S:1:pos:R:3 comment="NiSbW2, optimized geometry, DFT PBEsol" vol_a3_per_atom=15.3 e_form_raw_ev_per_atom=0.3632 pbc="T T T"
Ni 0.000 0.000 0.000
Sb 1.693 0.000 1.833
W 0.000 0.000 4.020
W 0.000 2.208 2.044



4
Lattice="-2.047 2.047 4.213 2.047 -2.047 4.213 2.047 2.047 -4.213" Properties=species:S:1:pos:R:3 comment="ZnCd2Ag, optimized geometry, DFT PBEsol" vol_a3_per_atom=17.7 ef_ev_per_atom=0.01 pbc="T T T"
Zn 0.000 0.000 0.000
Cd 2.047 0.000 2.106
Cd 0.000 0.000 4.213
Ag 0.000 2.047 2.106



3
Lattice="0.000 3.061 3.061 3.061 0.000 3.061 3.061 3.061 0.000" Properties=species:S:1:pos:R:3 comment="ZrRuCl, optimized geometry, DFT PBEsol" vol_a3_per_atom=19.1 e_form_raw_ev_per_atom=0.3007 pbc="T T T"
Zr 0.000 0.000 0.000
Ru 1.531 1.531 1.531
Cl 4.592 4.592 4.592



5
Lattice="4.224 0.000 0.000 0.000 4.224 0.000 0.000 0.000 5.110" Properties=species:S:1:pos:R:3 comment="TlCoP2S, optimized geometry, DFT PBEsol" vol_a3_per_atom=18.2 e_form_raw_ev_per_atom=0.2951 pbc="T T T"
Tl 0.000 0.000 0.000
Co 2.112 2.112 2.555
P 0.000 2.112 2.555
P 2.112 0.000 2.555
S 2.112 2.112 0.000



5
Lattice="5.701 0.000 0.000 0.000 5.701 0.000 0.000 0.000 5.701" Properties=species:S:1:pos:R:3 comment="Cs3MoOs, optimized geometry, DFT PBEsol" vol_a3_per_atom=37.1 ef_ev_per_atom=2.54 pbc="T T T"
Cs 0.000 0.000 2.851
Cs 0.000 2.851 0.000
Cs 2.851 0.000 0.000
Mo 0.000 0.000 0.000
Os 2.851 2.851 2.851



3
Lattice="4.310 0.000 0.000 -2.155 3.733 0.000 0.000 0.000 2.714" Properties=species:S:1:pos:R:3 comment="TaCuPt, optimized geometry, DFT PBEsol" vol_a3_per_atom=14.6 ef_ev_per_atom=-0.40 pbc="T T T"
Ta 0.000 0.000 0.000
Cu 0.000 2.489 1.357
Pt 2.155 1.244 1.357



5
Lattice="-1.749 1.749 5.462 1.749 -1.749 5.462 1.749 1.749 -5.462" Properties=species:S:1:pos:R:3 comment="Zn2Cu2Ru, optimized geometry, DFT PBEsol" vol_a3_per_atom=13.4 ef_ev_per_atom=0.46 pbc="T T T"
Zn 1.749 0.000 2.731
Zn 0.000 1.749 2.731
Cu 0.000 0.000 1.097
Cu 0.000 0.000 9.827
Ru 0.000 0.000 5.462



4
Lattice="3.489 -4.012 0.000 3.489 4.012 0.000 0.000 0.000 3.481" Properties=species:S:1:pos:R:3 comment="Y2AlTl, optimized geometry, DFT PBEsol" vol_a3_per_atom=24.4 ef_ev_per_atom=-0.41 pbc="T T T"
Y 1.744 2.006 0.000
Y 1.744 -2.006 0.000
Al 0.000 0.000 1.741
Tl 3.489 0.000 1.741



5
Lattice="4.023 0.000 0.000 0.000 4.023 0.000 0.000 0.000 5.673" Properties=species:S:1:pos:R:3 comment="TaMoIN2, optimized geometry, DFT PBEsol" vol_a3_per_atom=18.4 e_form_raw_ev_per_atom=0.9570 pbc="T T T"
Ta 0.000 0.000 0.000
Mo 2.012 2.012 2.836
I 0.000 0.000 2.836
N 0.000 2.012 0.000
N 2.012 0.000 0.000



3
Lattice="2.592 0.000 0.000 -1.296 2.245 0.000 0.000 0.000 6.217" Properties=species:S:1:pos:R:3 comment="Mn2Pt, optimized geometry, DFT PBEsol" vol_a3_per_atom=12.1 ef_ev_per_atom=0.06 pbc="T T T"
Mn 0.000 1.497 0.902
Mn 1.296 0.748 5.315
Pt 0.000 0.000 3.108



4
Lattice="2.611 0.000 0.000 0.000 4.079 0.000 -1.301 0.000 4.878" Properties=species:S:1:pos:R:3 comment="Ni2AgMo, optimized geometry, DFT PBEsol" vol_a3_per_atom=13.0 ef_ev_per_atom=0.21 pbc="T T T"
Ni 0.000 0.000 0.000
Ni -0.007 2.040 1.317
Ag 1.303 0.000 2.332
Mo 0.003 2.040 3.940



4
Lattice="3.999 0.000 0.000 0.000 3.999 0.000 0.000 0.000 5.330" Properties=species:S:1:pos:R:3 comment="YAg2Br, optimized geometry, DFT PBEsol" vol_a3_per_atom=21.3 e_form_raw_ev_per_atom=-0.3559 pbc="T T T"
Y 0.000 0.000 0.000
Ag 0.000 1.999 2.665
Ag 1.999 0.000 2.665
Br 1.999 1.999 0.000



5
Lattice="5.439 0.000 0.000 0.000 5.439 0.000 0.000 0.000 5.439" Properties=species:S:1:pos:R:3 comment="ZnI3O, optimized geometry, DFT PBEsol" vol_a3_per_atom=32.2 e_form_raw_ev_per_atom=0.5927 pbc="T T T"
Zn 0.000 0.000 0.000
I 0.000 0.000 2.720
I 0.000 2.720 0.000
I 2.720 0.000 0.000
O 2.720 2.720 2.720



30
Lattice="4.356 -4.406 0.000 4.356 4.406 0.000 -3.534 0.000 11.641" Properties=species:S:1:pos:R:3 comment="Na6Sn2O7, optimized geometry, DFT PBEsol" vol_a3_per_atom=14.9 e_form_raw_ev_per_atom=-1.5296 pbc="T T T"
Na 0.000 0.000 0.000
Na -1.767 0.000 5.820
Na -0.807 2.027 10.167
Na 1.705 4.037 8.731
Na 2.328 1.241 4.745
Na 4.616 1.241 1.076
Na 0.960 -2.027 4.347
Na 4.217 2.027 7.294
Na 0.561 -1.241 10.565
Na 2.849 -1.241 6.896
Na 3.472 -4.037 2.910
Na 5.984 -2.027 1.474
Sn 0.714 0.914 7.343
Sn 2.481 -0.914 1.523
Sn 2.696 0.914 10.118
Sn 4.463 -0.914 4.298
O -1.099 1.200 7.998
O 1.877 2.436 6.939
O 2.520 0.486 0.146
O 1.534 2.436 10.523
O 0.668 -1.200 2.178
O 0.753 -0.486 5.967
O 3.472 0.178 2.910
O 1.705 -0.178 8.731
O 4.425 0.486 5.674
O 4.509 1.200 9.463
O 3.644 -2.436 1.118
O 2.658 -0.486 11.494
O 3.300 -2.436 4.702
O 6.276 -1.200 3.643



15
Lattice="4.538 2.620 3.849 -4.538 2.620 3.849 0.000 -5.240 3.849" Properties=species:S:1:pos:R:3 comment="KMo6S8, optimized geometry, DFT PBEsol" vol_a3_per_atom=18.3 e_form_raw_ev_per_atom=-0.8466 pbc="T T T"
K 0.000 0.000 0.000
Mo -1.552 -0.097 4.599
Mo 0.859 -1.295 4.599
Mo -0.692 -1.392 6.948
Mo 0.692 1.392 4.599
Mo -0.859 1.295 6.948
Mo 1.552 0.097 6.948
S -1.231 -2.503 4.844
S 0.000 0.000 2.817
S -2.783 -0.185 6.703
S -1.552 2.318 4.844
S 1.552 -2.318 6.703
S 2.783 0.185 4.844
S 0.000 0.000 8.730
S 1.231 2.503 6.703